Record 1
BeTlHg2W | PBE-GGA | optimized geometry

a = 5.3761 Å, b = 5.4684 Å, c = 5.3761 Å
α = 90.00°, β = 90.00°, γ = 90.00°
With the nearest neighbours (Å) after each atom.
Fractional coordinates of all 5 atoms:
W (0.0000, 0.0000, 0.0000)  4 Hg 2.69, 2 Tl 2.73
Tl (0.0000, 0.5000, 0.0000)  2 W 2.73
Hg (0.5000, 0.0000, 0.0000)  2 W 2.69
Be (0.5000, 0.5000, 0.5000)  4 Tl 3.80, 8 Hg 3.83
Hg (0.0000, 0.0000, 0.5000)  2 W 2.69

Results
Crystal system: tetragonal
Volume, A^3/atom: 31.61
Formation energy, eV per atom: 1.516
Space-group type: P4/mmm (123)



Record 2
Tm2BeHg | PBE-GGA | optimized geometry

a = 5.0204 Å, b = 5.0204 Å, c = 5.0204 Å
α = 60.00°, β = 60.00°, γ = 60.00°
With the nearest neighbours (Å) after each atom.
Fractional coordinates of all 4 atoms:
Be (0.5000, 0.5000, 0.5000)  8 Tm 3.07
Tm (0.7500, 0.7500, 0.7500)  4 Be 3.07, 4 Hg 3.07
Tm (0.2500, 0.2500, 0.2500)  4 Be 3.07, 4 Hg 3.07
Hg (0.0000, 0.0000, 0.0000)  8 Tm 3.07

Results
Crystal system: cubic
Distance to the lowest polymorph of the same formula, meV per atom: 70
Volume, A^3/atom: 22.37
Formation energy, eV per atom: -0.137
Space-group type: Fm-3m (225)



Record 3
TmBeHg | PBE-GGA | optimized geometry

a = 3.7876 Å, b = 7.2122 Å, c = 12.6567 Å
α = 90.00°, β = 90.00°, γ = 90.00°
With the nearest neighbours (Å) after each atom.
Fractional coordinates of all 18 atoms:
Hg (0.5000, 0.5870, 0.6210)  3 Be 2.70-2.71
Tm (0.0000, 0.1416, 0.2500)  5 Be 2.92-3.01, 6 Hg 3.02-3.18
Tm (0.0000, 0.8584, 0.7500)  5 Be 2.92-3.01, 6 Hg 3.02-3.18
Hg (0.5000, 0.4130, 0.3790)  3 Be 2.70-2.71
Hg (0.5000, 0.8154, 0.2500)  4 Be 2.65-2.69
Tm (0.0000, 0.7631, 0.4564)  5 Be 2.82-3.00, 2 Hg 3.09
Be (0.5000, 0.9546, 0.9173)  1 Be 2.19
Tm (0.0000, 0.2369, 0.9564)  5 Be 2.82-3.00, 2 Hg 3.09
Be (0.5000, 0.9546, 0.5827)  1 Be 2.19
Be (0.0000, 0.5584, 0.2500)  6 Hg 2.65-2.71
Be (0.0000, 0.4416, 0.7500)  6 Hg 2.65-2.71
Be (0.5000, 0.0454, 0.0827)  1 Be 2.19
Hg (0.5000, 0.4130, 0.1210)  3 Be 2.70-2.71
Hg (0.5000, 0.1846, 0.7500)  4 Be 2.65-2.69
Be (0.5000, 0.0454, 0.4173)  1 Be 2.19
Tm (0.0000, 0.2369, 0.5436)  5 Be 2.82-3.00, 2 Hg 3.09
Tm (0.0000, 0.7631, 0.0436)  5 Be 2.82-3.00, 2 Hg 3.09
Hg (0.5000, 0.5870, 0.8790)  3 Be 2.70-2.71

Results
Crystal system: orthorhombic
Volume, A^3/atom: 19.21
Formation energy, eV per atom: -0.202
Space-group type: Pmma (51)



Record 4
Tm2BeHg | PBE-GGA | optimized geometry

a = 3.4505 Å, b = 3.4505 Å, c = 7.2968 Å
α = 90.00°, β = 90.00°, γ = 90.00°
With the nearest neighbours (Å) after each atom.
Fractional coordinates of all 4 atoms:
Tm (0.0000, 0.0000, 0.7787)  4 Be 2.93, 4 Hg 3.18, 1 Tm 3.23
Be (0.5000, 0.5000, 0.0000)  8 Tm 2.93
Hg (0.5000, 0.5000, 0.5000)  8 Tm 3.18, 4 Hg 3.45
Tm (0.0000, 0.0000, 0.2213)  4 Be 2.93, 4 Hg 3.18, 1 Tm 3.23

Results
Crystal system: tetragonal
Distance to the lowest polymorph of the same formula, meV per atom: 0
Volume, A^3/atom: 21.72
Formation energy, eV per atom: -0.207
Space-group type: P4/mmm (123)



Record 5
BeVHg2 | PBE-GGA | optimized geometry

a = 4.0787 Å, b = 4.0787 Å, c = 9.7321 Å
α = 77.90°, β = 77.90°, γ = 90.00°
With the nearest neighbours (Å) after each atom.
Fractional coordinates of all 8 atoms:
V (0.0000, 0.0000, 0.0000)  4 Hg 2.75, 4 Be 2.88
V (0.7500, 0.2500, 0.5000)  4 Hg 2.75, 4 Be 2.88
Hg (0.3750, 0.3855, 0.7500)  2 Be 2.72, 2 V 2.75, 4 Hg 2.82-2.95
Hg (0.1355, 0.6250, 0.2500)  2 Be 2.72, 2 V 2.75, 4 Hg 2.82-2.95
Be (0.5000, 0.5000, 0.0000)  4 Hg 2.72, 4 V 2.88
Hg (0.8750, 0.8645, 0.7500)  2 Be 2.72, 2 V 2.75, 4 Hg 2.82-2.95
Hg (0.6145, 0.1250, 0.2500)  2 Be 2.72, 2 V 2.75, 4 Hg 2.82-2.95
Be (0.2500, 0.7500, 0.5000)  4 Hg 2.72, 4 V 2.88

Results
Crystal system: tetragonal
Volume, A^3/atom: 19.33
Formation energy, eV per atom: 0.757
Space-group type: I-42d (122)



Record 6
BeVHg3 | PBE-GGA | optimized geometry

a = 4.7004 Å, b = 4.7004 Å, c = 4.7004 Å
α = 90.00°, β = 90.00°, γ = 90.00°
With the nearest neighbours (Å) after each atom.
Fractional coordinates of all 5 atoms:
V (0.5000, 0.5000, 0.5000)  12 Hg 3.32
Hg (0.0000, 0.5000, 0.0000)  2 Be 2.35
Hg (0.0000, 0.0000, 0.5000)  2 Be 2.35
Be (0.0000, 0.0000, 0.0000)  6 Hg 2.35
Hg (0.5000, 0.0000, 0.0000)  2 Be 2.35

Results
Crystal system: cubic
Distance to the lowest polymorph of the same formula, meV per atom: 0
Volume, A^3/atom: 20.77
Formation energy, eV per atom: 0.651
Space-group type: Pm-3m (221)